This record from Alexandria via LeMat-Bulk describes a relaxed structure of ScRe2. The functional is PBE.

Output
The formation energy is 1833 meV/atom. The calculation puts the magnetic moment at 0.00 μB per cell. For the final energy, the calculation gives -102.9 eV for the cell shown.

a b c (Å): 6.199 6.199 6.199
angles (deg): 90.00 90.00 90.00
Atoms (fractional coordinates):
Sc 0.000 0.500 0.500
Sc 0.000 0.000 0.000
Sc 0.500 0.500 0.000
Sc 0.500 0.000 0.500
Re 0.889 0.111 0.611
Re 0.389 0.111 0.889
Re 0.611 0.889 0.111
Re 0.889 0.389 0.111
Re 0.389 0.389 0.389
Re 0.111 0.611 0.889
Re 0.111 0.889 0.389
Re 0.611 0.611 0.611